[1]
Cs2CuTcO4 | PBE-GGA | relaxed

abc: 5.8925 5.8925 5.8925
angles: 99.16 114.86 114.86
Closest atoms and distances in Å follow each position.
Positions (direct):
O: 0.8357 0.4978 0.1519  1 Tc 1.86, 1 Cu 2.05
O: 0.6541 0.3380 0.5022  1 Tc 1.86, 1 Cu 2.05
O: 0.1643 0.3161 0.6620  1 Tc 1.86, 1 Cu 2.05
O: 0.3459 0.8482 0.6839  1 Tc 1.86, 1 Cu 2.05
Tc: 0.0000 0.5000 0.5000  4 O 1.86
Cs: 0.0000 0.0000 0.0000  4 O 3.11
Cs: 0.5000 0.7500 0.2500  8 O 3.10-3.29
Cu: 0.5000 0.2500 0.7500  4 O 2.05

Results
magnetic moment = 0.000 μB/f.u.

***

[2]
CsCuTc2O8 | PBE-GGA | relaxed

abc: 5.5454 5.5454 8.5401
angles: 90.00 90.00 120.00
Closest atoms and distances in Å follow each position.
Positions (direct):
O: 0.3333 0.6667 0.9146  1 Tc 1.75
O: 0.3362 0.2601 0.3552  1 Tc 1.76
O: 0.6667 0.3333 0.0854  1 Tc 1.75
O: 0.7399 0.0761 0.3552  1 Tc 1.76
O: 0.0761 0.3362 0.6448  1 Tc 1.76
O: 0.6638 0.7399 0.6448  1 Tc 1.76
O: 0.9239 0.6638 0.3552  1 Tc 1.76
O: 0.2601 0.9239 0.6448  1 Tc 1.76
Cu: 0.0000 0.0000 0.5000  6 O 2.10
Tc: 0.6667 0.3333 0.2901  4 O 1.75-1.76
Tc: 0.3333 0.6667 0.7099  4 O 1.75-1.76
Cs: 0.0000 0.0000 0.0000  12 O 3.28-3.47

Results
magnetic moment = 0.096 μB/f.u.

***

[3]
Cs3CuTe2O8 | PBE-GGA | relaxed

abc: 6.2752 6.2752 8.4060
angles: 90.00 90.00 120.00
Closest atoms and distances in Å follow each position.
Positions (direct):
O: 0.1692 0.3384 0.3449  1 Te 1.88
O: 0.8308 0.1692 0.6551  1 Te 1.88
O: 0.3333 0.6667 0.0537  1 Te 1.85
O: 0.6616 0.8308 0.3449  1 Te 1.88
O: 0.1692 0.8308 0.3449  1 Te 1.88
O: 0.6667 0.3333 0.9463  1 Te 1.85
O: 0.8308 0.6616 0.6551  1 Te 1.88
O: 0.3384 0.1692 0.6551  1 Te 1.88
Te: 0.6667 0.3333 0.7263  4 O 1.85-1.88
Te: 0.3333 0.6667 0.2737  4 O 1.85-1.88
Cs: 0.3333 0.6667 0.7082  7 O 2.90-3.17
Cs: 0.0000 0.0000 0.0000  12 O 3.43-3.65
Cs: 0.6667 0.3333 0.2918  7 O 2.90-3.17
Cu: 0.0000 0.0000 0.5000  6 O 2.25

Results
magnetic moment = 0.063 μB/f.u.

***

[4]
Cs2CuTe2O6 | PBE-GGA | relaxed

abc: 5.5861 7.7058 8.2902
angles: 121.51 90.00 111.25
Closest atoms and distances in Å follow each position.
Positions (direct):
Cs: 0.2871 0.5743 0.7430  3 O 2.89-3.21
Cs: 0.7129 0.4257 0.2570  3 O 2.89-3.21
O: 0.3403 0.1556 0.7074  1 Te 1.90, 1 Cu 1.95
O: 0.6597 0.8444 0.2926  1 Te 1.90, 1 Cu 1.95
O: 0.1847 0.8444 0.2926  1 Te 1.90, 1 Cu 1.95
O: 0.1178 0.2356 0.3284  1 Te 1.87
O: 0.8153 0.1556 0.7074  1 Te 1.90, 1 Cu 1.95
O: 0.8822 0.7644 0.6716  1 Te 1.87
Cu: 0.5000 0.0000 0.5000  4 O 1.95
Te: 0.0387 0.0773 0.8032  3 O 1.87-1.90
Te: 0.9613 0.9227 0.1968  3 O 1.87-1.90

Results
magnetic moment = 1.002 μB/f.u.

***

[5]
Cs2ThCuO4 | PBE-GGA | relaxed

abc: 6.2721 7.9519 7.3732
angles: 90.00 90.00 90.00
Closest atoms and distances in Å follow each position.
Positions (direct):
O: 0.3332 0.0488 0.5000  1 Cu 2.00, 1 Th 2.16
O: 0.9486 0.2560 0.2530  1 Cu 2.02, 1 Th 2.23
O: 0.4486 0.7440 0.2470  1 Cu 2.02, 1 Th 2.23
O: 0.4486 0.7440 0.7530  1 Cu 2.02, 1 Th 2.23
O: 0.8332 0.9512 0.0000  1 Cu 2.00, 1 Th 2.16
O: 0.9486 0.2560 0.7470  1 Cu 2.02, 1 Th 2.23
O: 0.3173 0.1357 0.0000  1 Cu 2.03, 1 Th 2.17
O: 0.8173 0.8643 0.5000  1 Cu 2.03, 1 Th 2.17
Cs: 0.4807 0.3530 0.7437  2 O 2.76-3.03
Cs: 0.4807 0.3530 0.2563  2 O 2.76-3.03
Cs: 0.9807 0.6470 0.2437  2 O 2.76-3.03
Cs: 0.9807 0.6470 0.7563  2 O 2.76-3.03
Cu: 0.9962 0.1677 0.0000  4 O 2.00-2.03
Cu: 0.4962 0.8323 0.5000  4 O 2.00-2.03
Th: 0.4946 0.9013 0.0000  4 O 2.16-2.23
Th: 0.9946 0.0987 0.5000  4 O 2.16-2.23

Results
magnetic moment = 1.026 μB/f.u.

***

[6]
Cs2TiCuO4 | PBE-GGA | relaxed

abc: 5.1258 6.8079 11.4206
angles: 85.15 77.03 67.89
Closest atoms and distances in Å follow each position.
Positions (direct):
Cs: 0.9245 0.5000 0.1509  8 O 3.30-3.49
Cs: 0.5755 0.5000 0.8491  8 O 3.30-3.49
Cs: 0.1745 0.0000 0.6509  8 O 3.30-3.49
Cs: 0.8255 0.0000 0.3491  8 O 3.30-3.49
O: 0.6472 0.1658 0.0876  1 Ti 1.84, 1 Cu 2.00
O: 0.9006 0.8342 0.9124  1 Ti 1.84, 1 Cu 2.00
O: 0.5629 0.3342 0.5876  1 Ti 1.84, 1 Cu 2.00
O: 0.1871 0.1658 0.9124  1 Ti 1.84, 1 Cu 2.00
O: 0.8494 0.6658 0.5876  1 Ti 1.84, 1 Cu 2.00
O: 0.2652 0.8342 0.0876  1 Ti 1.84, 1 Cu 2.00
O: 0.1028 0.3342 0.4124  1 Ti 1.84, 1 Cu 2.00
O: 0.4848 0.6658 0.4124  1 Ti 1.84, 1 Cu 2.00
Cu: 0.5000 0.0000 0.0000  4 O 2.00
Cu: 0.2500 0.5000 0.5000  4 O 2.00
Ti: 0.0000 0.0000 0.0000  4 O 1.84
Ti: 0.7500 0.5000 0.5000  4 O 1.84

Results
magnetic moment = 1.012 μB/f.u.

***

[7]
CsTl2Cu2O6 | PBE-GGA | relaxed

abc: 5.8988 7.5361 6.3740
angles: 116.40 88.37 68.92
Closest atoms and distances in Å follow each position.
Positions (direct):
Tl: 0.7774 0.4374 0.8318  4 O 2.15-2.29
Tl: 0.2226 0.5626 0.1682  4 O 2.15-2.29
O: 0.8943 0.4703 0.1765  1 Cu 1.83
O: 0.1057 0.5297 0.8235  1 Cu 1.83
O: 0.6001 0.2797 0.0087  1 Cu 1.83
O: 0.1310 0.7872 0.5467  1 Cu 1.77
O: 0.3999 0.7203 0.9913  1 Cu 1.83
O: 0.8690 0.2128 0.4533  1 Cu 1.77
Cs: 0.5000 0.0000 0.5000  8 O 3.20-3.56
Cu: 0.2204 0.6998 0.7591  3 O 1.77-1.83
Cu: 0.7796 0.3002 0.2409  3 O 1.77-1.83

Results
magnetic moment = 0.000 μB/f.u.

***

[8]
CsTlCuO2 | PBE-GGA | relaxed

abc: 4.8738 7.1052 7.6185
angles: 117.80 90.00 90.00
Closest atoms and distances in Å follow each position.
Positions (direct):
O: 0.2557 0.4018 0.8035  1 Cu 1.82
O: 0.2557 0.0982 0.1965  1 Cu 1.82
O: 0.7443 0.9018 0.8035  1 Cu 1.82
O: 0.7443 0.5982 0.1965  1 Cu 1.82
Tl: 0.5000 0.2500 0.0000  4 O 2.52
Tl: 0.5000 0.7500 0.0000  4 O 2.52
Cs: 0.2390 0.7500 0.5000  4 O 3.16-3.20
Cs: 0.7610 0.2500 0.5000  4 O 3.16-3.20
Cu: 0.0000 0.0000 0.0000  2 O 1.82
Cu: 0.0000 0.5000 0.0000  2 O 1.82

Results
magnetic moment = 0.514 μB/f.u.

***

[9]
CsTl2CuO2 | PBE-GGA | relaxed

abc: 3.6971 7.0445 12.9815
angles: 90.00 90.00 90.00
Closest atoms and distances in Å follow each position.
Positions (direct):
Tl: 0.0000 0.6024 0.3001  2 O 2.42
Tl: 0.5000 0.1024 0.1999  2 O 2.42
Tl: 0.5000 0.8976 0.8001  2 O 2.42
Tl: 0.0000 0.3976 0.6999  2 O 2.42
O: 0.5000 0.6963 0.4094  1 Cu 1.81
O: 0.0000 0.1963 0.0906  1 Cu 1.81
O: 0.5000 0.3037 0.5906  1 Cu 1.81
O: 0.0000 0.8037 0.9094  1 Cu 1.81
Cu: 0.0000 0.0000 0.0000  2 O 1.81
Cu: 0.5000 0.5000 0.5000  2 O 1.81
Cs: 0.0000 0.0000 0.5000  4 O 3.06
Cs: 0.5000 0.5000 0.0000  4 O 3.06

Results
magnetic moment = 0.000 μB/f.u.

***

[10]
Cs3U2CuO9 | PBE-GGA | relaxed

abc: 6.1318 6.1318 7.5144
angles: 90.00 90.00 120.00
Closest atoms and distances in Å follow each position.
Positions (direct):
Cs: 0.3333 0.6667 0.6595  12 O 3.04-3.11
Cs: 0.0000 0.0000 0.0000  12 O 3.05-3.07
Cs: 0.6667 0.3333 0.3405  12 O 3.04-3.11
O: 0.8265 0.1735 0.6768  1 U 2.03, 1 Cu 2.27
O: 0.8265 0.6529 0.6768  1 U 2.03, 1 Cu 2.27
O: 0.0000 0.5000 0.0000  2 U 2.20
O: 0.3471 0.1735 0.6768  1 U 2.03, 1 Cu 2.27
O: 0.1735 0.8265 0.3232  1 U 2.03, 1 Cu 2.27
O: 0.5000 0.5000 0.0000  2 U 2.20
O: 0.6529 0.8265 0.3232  1 U 2.03, 1 Cu 2.27
O: 0.1735 0.3471 0.3232  1 U 2.03, 1 Cu 2.27
O: 0.5000 0.0000 0.0000  2 U 2.20
U: 0.6667 0.3333 0.8260  6 O 2.03-2.20
U: 0.3333 0.6667 0.1740  6 O 2.03-2.20
Cu: 0.0000 0.0000 0.5000  6 O 2.27

Results
magnetic moment = 1.955 μB/f.u.

***

[11]
Cs2UCuO6 | PBE-GGA | relaxed

abc: 6.7774 6.7984 6.7745
angles: 49.62 49.70 72.78
Closest atoms and distances in Å follow each position.
Positions (direct):
Cu: 0.5000 0.5000 0.0000  4 O 1.86
U: 0.0000 0.0000 0.0000  2 O 1.90
O: 0.7309 0.7309 0.5392  1 Cu 1.86
O: 0.2700 0.7306 0.0000  1 Cu 1.86
O: 0.1738 0.1735 0.0004  1 U 1.90
O: 0.8262 0.8265 0.9996  1 U 1.90
O: 0.7300 0.2694 0.0000  1 Cu 1.86
O: 0.2691 0.2691 0.4608  1 Cu 1.86
Cs: 0.2500 0.7491 0.5007  4 O 2.96-2.97
Cs: 0.7500 0.2509 0.4993  4 O 2.96-2.97

Results
magnetic moment = 0.904 μB/f.u.

***

[12]
Cs4U3CuO12 | PBE-GGA | relaxed

abc: 7.6458 7.6458 7.6458
angles: 109.47 109.47 109.47
Closest atoms and distances in Å follow each position.
Positions (direct):
O: 0.5000 0.7500 0.2500  2 U 2.21
O: 0.0000 0.2782 0.2782  1 U 1.96
O: 0.7500 0.5000 0.2500  2 U 2.21
O: 0.7500 0.2500 0.5000  2 U 2.21
O: 0.2500 0.7500 0.5000  2 U 2.21
O: 0.2782 0.0000 0.2782  1 U 1.96
O: 0.0000 0.7218 0.7218  1 U 1.96
O: 0.2500 0.5000 0.7500  2 U 2.21
O: 0.2782 0.2782 0.0000  1 U 1.96
O: 0.7218 0.7218 0.0000  1 U 1.96
O: 0.7218 0.0000 0.7218  1 U 1.96
O: 0.5000 0.2500 0.7500  2 U 2.21
Cs: 0.5000 0.0000 0.0000  12 O 3.12-3.13
Cs: 0.0000 0.0000 0.5000  12 O 3.12-3.13
Cs: 0.0000 0.5000 0.0000  12 O 3.12-3.13
Cs: 0.5000 0.5000 0.5000  12 O 3.12-3.13
Cu: 0.0000 0.0000 0.0000  6 O 2.46
U: 0.5000 0.0000 0.5000  2 O 1.96
U: 0.5000 0.5000 0.0000  2 O 1.96
U: 0.0000 0.5000 0.5000  2 O 1.96

Results
magnetic moment = 0.880 μB/f.u.

***

It is found that the formation energy (no corrections) values, taken in the order of the records, are -116.4; -137.5; -107.5; -110.1; -172.4; -175.7; -55.9; -69.8; -72.1; -207.3; -177.2; -233.2 kJ/mol of atoms.
It is found that the mass density values, taken in the order of the records, are 5.3; 3.8; 4.9; 4.1; 5.6; 4.1; 5.5; 6.2; 6.3; 7.3; 6.2; 7.2 Mg/m³.